Entry from Alexandria via LeMat-Bulk: a relaxed PrDyCo crystal (PBE).

Unit cell a=11.5271 b=3.8055 c=8.6263 alpha=90.00 beta=126.63 gamma=90.00
With the nearest neighbours (Å) after each atom.
Space group C2/m (No. 12)
Asymmetric unit:
Pr1 0.1851 0.0000 0.1041 x4  2 Co 2.77
Dy1 0.0799 0.5000 0.3729 x4  4 Co 2.76-2.98
Co1 0.1219 0.0000 0.6334 x4  1 Co 2.34

Values from the calculation:
Its total magnetization is 0.001 μB per atom. As for the total energy: -67.0 eV per cell. For the energy of formation, the calculation gives -88 meV/atom. The energy relative to the lowest polymorph listed for this composition comes out at 0 meV/atom.